First-principles (PBE) data for NdMg2Si2Pt after structural relaxation, as listed in Alexandria via LeMat-Bulk.

a b c (Å): 8.5304 8.5304 8.5304
angles (deg): 151.19 151.19 41.20
Last column: nearest neighbours and their distance in Å.
Element x y z (fractional)
Nd (0.0000, 0.0000, 0.0000)  4 Pt 3.00
Mg (0.2500, 0.7500, 0.5000)  4 Si 2.70, 4 Mg 3.00
Mg (0.7500, 0.2500, 0.5000)  4 Si 2.70, 4 Mg 3.00
Si (0.3547, 0.3547, 0.0000)  1 Pt 2.32
Si (0.6453, 0.6453, 0.0000)  1 Pt 2.32
Pt (0.5000, 0.5000, 0.0000)  2 Si 2.32

Output
Size of the total moment: 0.00 μB per cell
Volume: 143.87 Å³ per cell
Formation energy from raw total energies: -29.2 kJ/mol of atoms